(1)
Here is TaHW2 after structural relaxation from Alexandria via LeMat-Bulk. Energies are from PBE.

Computed properties:
Its spin magnetization is 0.0 μB per formula unit. The space group is No. 166. The calculation puts the energy above the most stable polymorph in this dataset at 0.135 eV per atom.

Cell lengths 2.860, 2.860, 8.008 Å; angles 79.71, 79.71, 60.00 degrees
Positions (direct):
W (0.113, 0.113, 0.661)
W (0.887, 0.887, 0.339)
Ta (0.000, 0.000, 0.000)
H (0.500, 0.500, 0.500)

=====

(2)
Here is Ta2H6W after structural relaxation from Alexandria via LeMat-Bulk. Energies are from PBE.

Computed properties:
Its spin magnetization is 0.0 μB per formula unit. The space group is No. 71. The total energy comes out at -56.64 eV per formula unit.

Cell lengths 3.164, 4.464, 5.520 Å; angles 113.85, 106.66, 90.00 degrees
Positions (direct):
H (0.836, 0.592, 0.670)
Ta (0.336, 0.335, 0.670)
H (0.500, 0.756, 0.000)
H (0.164, 0.408, 0.330)
H (0.836, 0.078, 0.670)
Ta (0.664, 0.665, 0.330)
W (0.000, 0.000, 0.000)
H (0.164, 0.922, 0.330)
H (0.500, 0.244, 0.000)

=====

(3)
Here is Ta3HW after structural relaxation from Alexandria via LeMat-Bulk. Energies are from PBE.

Computed properties:
Its spin magnetization is 0.0 μB per formula unit. The space group is No. 221. The calculation puts the energy above the most stable polymorph in this dataset at 2.054 eV per atom.

Cell lengths 4.901, 4.901, 4.901 Å; angles 90.00, 90.00, 90.00 degrees
Positions (direct):
Ta (0.000, 0.000, 0.500)
Ta (0.000, 0.500, 0.000)
W (0.000, 0.000, 0.000)
H (0.500, 0.500, 0.500)
Ta (0.500, 0.000, 0.000)

=====

(4)
Here is Ta2HW after structural relaxation from Alexandria via LeMat-Bulk. Energies are from PBE.

Computed properties:
Its spin magnetization is 0.0 μB per formula unit. The space group is No. 227. The calculation puts the energy above the most stable polymorph in this dataset at 0.163 eV per atom.

Cell lengths 5.555, 5.555, 5.553 Å; angles 59.99, 59.99, 90.00 degrees
Positions (direct):
H (0.500, 0.500, 0.000)
H (0.250, 0.750, 0.500)
Ta (0.375, 0.625, 0.750)
Ta (0.375, 0.125, 0.250)
Ta (0.875, 0.625, 0.750)
Ta (0.375, 0.625, 0.250)
W (0.000, 0.000, 0.000)
W (0.750, 0.250, 0.500)

=====

(5)
Here is TaZnH2W after structural relaxation from Alexandria via LeMat-Bulk. Energies are from PBE.

Computed properties:
Its spin magnetization is 0.0 μB per formula unit. The space group is No. 123. The total energy comes out at -28.07 eV per formula unit.

Cell lengths 3.681, 5.110, 3.681 Å; angles 90.00, 90.00, 90.00 degrees
Positions (direct):
W (0.000, 0.000, 0.000)
H (0.500, 0.000, 0.000)
Zn (0.500, 0.500, 0.500)
Ta (0.000, 0.500, 0.000)
H (0.000, 0.000, 0.500)

=====

(6)
Here is ZrTaHW2 after structural relaxation from Alexandria via LeMat-Bulk. Energies are from PBE.

Computed properties:
Its spin magnetization is 0.0 μB per formula unit. The space group is No. 123. The total energy comes out at -43.02 eV per formula unit.

Cell lengths 5.063, 3.304, 5.063 Å; angles 90.00, 90.00, 90.00 degrees
Positions (direct):
Ta (0.500, 0.500, 0.500)
W (0.000, 0.000, 0.500)
H (0.000, 0.500, 0.000)
W (0.500, 0.000, 0.000)
Zr (0.000, 0.000, 0.000)

=====

What density of states at the Fermi level values result from the calculations? In sequence: 4.028; 3.003; 6.797; 6.886; 2.912; 4.780 states/eV/f.u..